This record from Alexandria via LeMat-Bulk describes a relaxed Sm4YAl2 crystal. The functional is PBE.

## Properties
Relative energy among the computed polymorphs (meV/atom): 289
SG: R-3m (166)
DOS at the Fermi energy (states/eV/atom): 1.62
Calculated formation energy (eV/atom): 0.100

POSCAR file:
```
Sm4YAl2
1.0
-3.3510 -3.8359 0.6918
0.5472 -4.3932 -2.6120
4.8306 -6.4401 6.7859
Al Sm Y
2 4 1
direct
0.5992 0.5992 0.2025
0.4008 0.4008 0.7975
0.8989 0.8989 0.3033
0.2976 0.2976 0.1071
0.7024 0.7024 0.8929
0.1011 0.1011 0.6967
0.5000 0.5000 0.5000
```